No. 1
K2Cr2O7 | meta-GGA SCAN | PBEsol geometry

Uncorrected formation energy = -2.064 eV per atom
Fermi-level density of states = 0.00 states/eV/f.u.
Theoretical density = 2.7 g cm⁻³

abc: 7.3882 7.4126 13.3496
angles: 94.47 97.99 90.62
Fractional positions:
K  0.1201  0.1462  0.1383
K  0.2601  0.2560  0.8470
K  0.2999  0.8374  0.6398
K  0.3384  0.5817  0.3401
K  0.6616  0.4183  0.6599
K  0.7001  0.1626  0.3602
K  0.7399  0.7440  0.1530
K  0.8799  0.8538  0.8617
Cr  0.1846  0.0713  0.3878
Cr  0.1910  0.3423  0.5829
Cr  0.1993  0.6783  0.0870
Cr  0.3977  0.7214  0.8942
Cr  0.6023  0.2786  0.1058
Cr  0.8007  0.3217  0.9130
Cr  0.8090  0.6577  0.4171
Cr  0.8154  0.9287  0.6122
O  0.0222  0.9873  0.3025
O  0.0285  0.8079  0.0551
O  0.0413  0.4297  0.6475
O  0.0790  0.2061  0.4769
O  0.1313  0.5112  0.1438
O  0.2676  0.8819  0.8523
O  0.2873  0.5949  0.9758
O  0.2982  0.9128  0.4422
O  0.3115  0.5005  0.5442
O  0.3194  0.1973  0.3349
O  0.3278  0.2165  0.6517
O  0.3548  0.7955  0.1620
O  0.4127  0.1945  0.0451
O  0.4351  0.5843  0.7992
O  0.5649  0.4157  0.2008
O  0.5873  0.8055  0.9549
O  0.6452  0.2045  0.8380
O  0.6722  0.7835  0.3483
O  0.6806  0.8027  0.6651
O  0.6885  0.4995  0.4558
O  0.7018  0.0872  0.5578
O  0.7127  0.4051  0.0242
O  0.7324  0.1181  0.1477
O  0.8687  0.4888  0.8562
O  0.9210  0.7939  0.5231
O  0.9587  0.5703  0.3525
O  0.9715  0.1921  0.9449
O  0.9778  0.0127  0.6975

No. 2
InAg3P2O8 | meta-GGA SCAN | PBEsol geometry

Uncorrected formation energy = -1.686 eV per atom
Fermi-level density of states = 0.00 states/eV/f.u.
Theoretical density = 5.9 g cm⁻³

abc: 5.1518 5.1518 7.4483
angles: 94.82 94.82 64.28
Fractional positions:
In  0.0000  0.0000  0.0000
Ag  0.0000  0.0000  0.5000
Ag  0.3683  0.3683  0.3617
Ag  0.6317  0.6317  0.6383
P  0.3351  0.3351  0.7902
P  0.6649  0.6649  0.2098
O  0.2160  0.6714  0.7956
O  0.2341  0.2341  0.9451
O  0.2390  0.2390  0.6023
O  0.3286  0.7840  0.2044
O  0.6714  0.2160  0.7956
O  0.7610  0.7610  0.3977
O  0.7659  0.7659  0.0549
O  0.7840  0.3286  0.2044

No. 3
CaSc2Rh | meta-GGA SCAN | PBEsol geometry

Fermi-level density of states = 4.05 states/eV/f.u.
Distance to the lowest polymorph of the same formula = 170.9 meV per atom
Theoretical density = 3.9 g cm⁻³

abc: 3.4103 3.4103 29.6819
angles: 90.00 90.00 120.00
Fractional positions:
Ca  0.0000  0.0000  0.0000
Ca  0.3333  0.6667  0.6667
Ca  0.6667  0.3333  0.3333
Sc  0.0000  0.0000  0.1099
Sc  0.0000  0.0000  0.8901
Sc  0.3333  0.6667  0.5568
Sc  0.3333  0.6667  0.7765
Sc  0.6667  0.3333  0.2235
Sc  0.6667  0.3333  0.4432
Rh  0.0000  0.0000  0.5000
Rh  0.3333  0.6667  0.1667
Rh  0.6667  0.3333  0.8333

No. 4
TcOs | meta-GGA SCAN | PBEsol geometry

Fermi-level density of states = 1.95 states/eV/f.u.
Distance to the lowest polymorph of the same formula = 1099.4 meV per atom
Theoretical density = 14.6 g cm⁻³

abc: 3.8695 3.8695 5.0580
angles: 90.00 90.00 120.00
Fractional positions:
Tc  0.0000  0.0000  0.0000
Tc  0.0000  0.0000  0.5000
Os  0.3333  0.6667  0.2500
Os  0.6667  0.3333  0.7500

No. 5
Li2LaCd2 | meta-GGA SCAN | PBEsol geometry

Fermi-level density of states = 3.13 states/eV/f.u.
Distance to the lowest polymorph of the same formula = 2.8 meV per atom
Theoretical density = 5.8 g cm⁻³

abc: 8.3139 8.3139 3.1057
angles: 90.00 90.00 90.00
Fractional positions:
Li  0.1167  0.3833  0.0000
Li  0.3833  0.8833  0.0000
Li  0.6167  0.1167  0.0000
Li  0.8833  0.6167  0.0000
La  0.0000  0.0000  0.0000
La  0.5000  0.5000  0.0000
Cd  0.1771  0.6771  0.5000
Cd  0.3229  0.1771  0.5000
Cd  0.6771  0.8229  0.5000
Cd  0.8229  0.3229  0.5000

No. 6
Al2ZnPb | meta-GGA SCAN | PBEsol geometry

Fermi-level density of states = 1.65 states/eV/f.u.
Distance to the lowest polymorph of the same formula = 127.7 meV per atom
Theoretical density = 6.7 g cm⁻³

abc: 6.8819 6.8819 6.8819
angles: 90.00 90.00 90.00
Fractional positions:
Al  0.0000  0.0000  0.0000
Al  0.0000  0.5000  0.5000
Al  0.2500  0.2500  0.2500
Al  0.2500  0.7500  0.7500
Al  0.5000  0.0000  0.5000
Al  0.5000  0.5000  0.0000
Al  0.7500  0.2500  0.7500
Al  0.7500  0.7500  0.2500
Zn  0.2500  0.2500  0.7500
Zn  0.2500  0.7500  0.2500
Zn  0.7500  0.2500  0.2500
Zn  0.7500  0.7500  0.7500
Pb  0.0000  0.0000  0.5000
Pb  0.0000  0.5000  0.0000
Pb  0.5000  0.0000  0.0000
Pb  0.5000  0.5000  0.5000

No. 7
MgAgHg | meta-GGA SCAN | PBEsol geometry

Fermi-level density of states = 1.10 states/eV/f.u.
Distance to the lowest polymorph of the same formula = 137.6 meV per atom
Theoretical density = 9.4 g cm⁻³

abc: 3.1432 3.1432 6.8483
angles: 90.00 90.00 120.00
Fractional positions:
Mg  0.0000  0.0000  0.0000
Ag  0.6667  0.3333  0.6844
Hg  0.3333  0.6667  0.3428

No. 8
BaCdPt | meta-GGA SCAN | PBEsol geometry

Uncorrected energy = -47.38 eV/atom
Fermi-level density of states = 0.76 states/eV/f.u.
Theoretical density = 8.8 g cm⁻³

abc: 4.6924 4.6924 4.3841
angles: 90.00 90.00 120.00
Fractional positions:
Ba  0.0000  0.0000  0.0000
Cd  0.3333  0.6667  0.5000
Pt  0.6667  0.3333  0.5000